Density functional theory data (PBE) for an optimized crystal structure of Ca2ReAu.

Output
Formation enthalpy at 0 K (eV per atom): 0.4029
E_tot (eV per atom): -4.529

```
Ca2ReAu
1.0
-3.1979 -0.9769 1.3454
-2.9835 -1.3401 -1.5145
2.3745 -8.8670 1.3043
Re Ca Au
1 2 1
direct
0.7500 0.7500 0.7500 Re
0.4986 0.4986 0.5084 Ca
0.0014 0.0014 0.9916 Ca
0.2500 0.2500 0.2500 Au
```